# 1
First-principles (PBE) data for crystalline ScMo4Os at its relaxed geometry, as listed in Alexandria.

Cell lengths 5.230, 5.230, 5.230 Å; angles 60.00, 60.00, 60.00 degrees
Fractional positions:
Sc 0.000 0.000 0.000
Mo 0.878 0.374 0.374
Mo 0.374 0.374 0.878
Mo 0.374 0.878 0.374
Mo 0.374 0.374 0.374
Os 0.750 0.750 0.750

Properties
- SG = F-43m (216)
- Fermi-level density of states (states/eV/f.u.) = 8.69
- formation energy from the elements (eV per atom) = 0.212

# 2
First-principles (PBE) data for crystalline ScMoIr2 at its relaxed geometry, as listed in Alexandria.

Cell lengths 2.820, 4.910, 5.656 Å; angles 53.91, 90.00, 90.00 degrees
Fractional positions:
Ir 0.000 0.000 0.000
Ir 0.500 0.500 0.000
Mo 0.500 0.500 0.500
Sc 0.000 0.000 0.500

Properties
- SG = P2/m (10)
- polymorph energy (0 for the lowest one) (kJ per mole of atoms) = 30.07
- Fermi-level density of states (states/eV/f.u.) = 3.85
- formation energy from the elements (eV per atom) = -0.207

# 3
First-principles (PBE) data for crystalline K5Pt at its relaxed geometry, as listed in Alexandria.

Cell lengths 11.345, 11.345, 5.941 Å; angles 90.00, 90.00, 156.33 degrees
Fractional positions:
K 0.986 0.014 0.000
K 0.661 0.339 0.000
K 0.360 0.640 0.000
K 0.490 0.510 0.500
K 0.280 0.720 0.500
Pt 0.891 0.109 0.500

Properties
- SG = Amm2 (38)
- polymorph energy (0 for the lowest one) (kJ per mole of atoms) = 5.89
- Fermi-level density of states (states/eV/f.u.) = 2.73
- formation energy from the elements (eV per atom) = 0.105

# 4
First-principles (PBE) data for crystalline ZnSiBr2 at its relaxed geometry, as listed in Alexandria.

Cell lengths 3.923, 3.923, 10.235 Å; angles 79.38, 79.38, 59.97 degrees
Fractional positions:
Br 0.032 0.032 0.910
Br 0.468 0.468 0.590
Si 0.750 0.750 0.750
Zn 0.250 0.250 0.250

Properties
- SG = C2/m (12)
- polymorph energy (0 for the lowest one) (kJ per mole of atoms) = 19.66
- formation energy (no corrections) (kJ per mole of atoms) = 4.2

# 5
First-principles (PBE) data for crystalline LiUPbSe4 at its relaxed geometry, as listed in Alexandria.

Cell lengths 9.606, 8.017, 8.578 Å; angles 122.35, 90.00, 126.81 degrees
Last column: magnetic moment on the atom in μB.
Fractional positions:
Li 0.500 0.500 0.500  0.00
Li 0.000 0.500 0.500  0.00
U 0.500 0.000 0.500  1.29
U 0.500 0.000 0.000  1.29
Pb 0.940 0.880 0.190  -0.01
Pb 0.060 0.120 0.810  -0.01
Se 0.780 0.561 0.735  -0.06
Se 0.289 0.951 0.225  -0.05
Se 0.662 0.951 0.225  -0.05
Se 0.780 0.561 0.326  -0.06
Se 0.220 0.439 0.674  -0.06
Se 0.711 0.049 0.775  -0.05
Se 0.338 0.049 0.775  -0.05
Se 0.220 0.439 0.265  -0.06

Properties
- SG = Imma (74)
- Fermi-level density of states (states/eV/f.u.) = 4.57
- formation energy (no corrections) (kJ per mole of atoms) = -87.6

# 6
First-principles (PBE) data for crystalline CsBiSe2 at its relaxed geometry, as listed in Alexandria.

Cell lengths 8.318, 8.318, 7.802 Å; angles 57.79, 57.79, 90.00 degrees
Fractional positions:
Cs 0.500 0.500 0.000
Cs 0.250 0.750 0.500
Bi 0.000 0.000 0.000
Bi 0.750 0.250 0.500
Se 0.703 0.125 0.250
Se 0.047 0.625 0.250
Se 0.375 0.297 0.750
Se 0.875 0.953 0.750

Properties
- SG = I-42d (122)
- Fermi-level density of states (states/eV/f.u.) = 0.00
- formation energy (no corrections) (kJ per mole of atoms) = -65.2

# 7
First-principles (PBE) data for crystalline Rb2AlVTe4 at its relaxed geometry, as listed in Alexandria.

Cell lengths 6.468, 8.212, 13.615 Å; angles 84.63, 76.26, 66.81 degrees
Last column: magnetic moment on the atom in μB.
Fractional positions:
Rb 0.182 0.000 0.636  0.00
Rb 0.818 0.000 0.364  0.00
Rb 0.568 0.500 0.864  0.00
Rb 0.932 0.500 0.136  0.00
Al 0.250 0.500 0.500  0.01
Al 0.500 0.000 0.000  0.01
V 0.750 0.500 0.500  1.93
V 0.000 0.000 0.000  1.93
Te 0.294 0.802 0.111  -0.04
Te 0.207 0.198 0.889  -0.04
Te 0.904 0.802 0.889  -0.04
Te 0.595 0.198 0.111  -0.04
Te 0.456 0.698 0.389  -0.04
Te 0.543 0.302 0.611  -0.04
Te 0.846 0.698 0.611  -0.04
Te 0.155 0.302 0.389  -0.04

Properties
- SG = Fddd (70)
- Fermi-level density of states (states/eV/f.u.) = 0.62
- formation energy (no corrections) (kJ per mole of atoms) = -63.2

# 8
First-principles (PBE) data for crystalline TbCu4As2 at its relaxed geometry, as listed in Alexandria.

Cell lengths 3.948, 7.453, 7.453 Å; angles 90.00, 90.00, 90.00 degrees
Fractional positions:
As 0.000 0.212 0.788
As 0.000 0.788 0.212
As 0.500 0.712 0.712
As 0.500 0.288 0.288
Tb 0.500 0.000 0.000
Tb 0.000 0.500 0.500
Cu 0.000 0.087 0.344
Cu 0.000 0.913 0.656
Cu 0.500 0.156 0.587
Cu 0.500 0.844 0.413
Cu 0.500 0.413 0.844
Cu 0.500 0.587 0.156
Cu 0.000 0.344 0.087
Cu 0.000 0.656 0.913

Properties
- SG = P4_2/mnm (136)
- Fermi-level density of states (states/eV/f.u.) = 1.96
- formation energy from the elements (eV per atom) = -0.436

Which formula does entry 5 have? LiUPbSe4

What did the third record say?
First-principles (PBE) data for crystalline K5Pt at its relaxed geometry, as listed in Alexandria.

Cell lengths 11.345, 11.345, 5.941 Å; angles 90.00, 90.00, 156.33 degrees
Fractional positions:
K 0.986 0.014 0.000
K 0.661 0.339 0.000
K 0.360 0.640 0.000
K 0.490 0.510 0.500
K 0.280 0.720 0.500
Pt 0.891 0.109 0.500

Properties
- SG = Amm2 (38)
- polymorph energy (0 for the lowest one) (kJ per mole of atoms) = 5.89
- Fermi-level density of states (states/eV/f.u.) = 2.73
- formation energy from the elements (eV per atom) = 0.105